ErSi2Ru2 | GGA-PBE | relaxed

Results
**Fermi-level density of states**: 2.4 states/eV/f.u.
**Uncorrected energy**: -7.7046 eV per atom
**ΔE_f (raw)**: -913 meV per atom
**Theoretical density**: 8.5 g cm⁻³
**Energy above the most stable polymorph in this dataset**: 0 kJ/mol of formula units

Unit cell a=5.595 b=5.595 c=5.595 alpha=136.24 beta=136.24 gamma=63.61
Element x y z (fractional)
Er  0.000  0.000  0.000
Si  0.630  0.630  0.000
Si  0.370  0.370  0.000
Ru  0.250  0.750  0.500
Ru  0.750  0.250  0.500

---

CeGaH2Ru | GGA-PBE | relaxed

Results
**Fermi-level density of states**: 3.5 states/eV/f.u.
**Uncorrected energy**: -5.5339 eV per atom
**Theoretical density**: 8.2 g cm⁻³

Unit cell a=3.972 b=5.686 c=6.005 alpha=90.00 beta=90.00 gamma=110.44
Last column: magnetic moment on the atom in μB.
Element x y z (fractional)
Ce  0.694  0.388  0.750  0.22
Ce  0.306  0.612  0.250  0.22
Ga  0.414  0.828  0.750  0.00
Ga  0.586  0.172  0.250  0.00
H  0.162  0.324  0.948  0.00
H  0.838  0.676  0.052  0.00
H  0.162  0.324  0.552  0.00
H  0.838  0.676  0.448  0.00
Ru  0.000  0.000  0.000  -0.02
Ru  0.000  0.000  0.500  -0.02

---

Which formula does entry 1 have? ErSi2Ru2

---

Look up the theoretical density of the second one. 8.2 g cm⁻³

---

Which formula does entry 1 have? ErSi2Ru2

---

The lowest Fermi-level density of states belongs to which entry? ErSi2Ru2